Entry 1:
DFT (PBE) results for crystalline LaCoSn2Te at its relaxed geometry.

The structure in POSCAR format:
```
LaCoSn2Te
1.0
4.8685 0.0000 0.0000
0.0000 4.8685 0.0000
0.0000 0.0000 5.5197
La Co Sn Te
1 1 2 1
Cartesian
0.0000 0.0000 0.0000
0.0000 0.0000 2.7599
0.0000 2.4343 2.7599
2.4343 0.0000 2.7599
2.4343 2.4343 0.0000
```

Results
- Space group: P4/mmm (123)
- Formation energy (no corrections): -554 meV/atom
- D(E_F): 0.6261 states/eV per atom
- Magnetic moment: 0.000 μB/cell



Entry 2:
DFT (PBE) results for crystalline K4CaMg at its relaxed geometry.

The structure in POSCAR format:
```
K4CaMg
1.0
0.0000 5.5076 5.5076
5.5076 0.0000 5.5076
5.5076 5.5076 0.0000
K Ca Mg
4 1 1
Cartesian
1.3729 1.3729 1.3729
4.1347 4.1347 1.3729
4.1347 1.3729 4.1347
1.3729 4.1347 4.1347
5.5076 5.5076 5.5076
8.2614 8.2614 8.2614
```

Results
- Space group: F-43m (216)
- Formation enthalpy at 0 K: 0.313 eV per atom
- D(E_F): 0.9052 states/eV per atom
- Magnetic moment: 0.000 μB/cell



Entry 3:
DFT (PBE) results for crystalline Dy8Cu2Hg at its relaxed geometry.

The structure in POSCAR format:
```
Dy8Cu2Hg
1.0
8.8364 -2.5413 0.0000
8.8364 2.5413 0.0000
-2.1422 0.0000 6.6001
Dy Cu Hg
8 2 1
Cartesian
0.0145 0.0000 1.7951
1.7179 0.0000 5.4790
4.6279 0.0000 3.3893
7.1071 0.0000 0.1947
8.4235 0.0000 6.4054
10.9027 0.0000 3.2108
13.8127 0.0000 1.1211
15.5161 0.0000 4.8050
2.7504 0.0000 1.4173
12.7802 0.0000 5.1828
7.7653 0.0000 3.3000
```

Results
- Space group: C2/m (12)
- Formation enthalpy at 0 K: -0.154 eV per atom
- D(E_F): 0.8602 states/eV per atom
- Magnetic moment: 0.000 μB/cell



Entry 4:
DFT (PBE) results for crystalline NaAc3Sm3Se8 at its relaxed geometry.

The structure in POSCAR format:
```
NaAc3Sm3Se8
1.0
4.2742 2.4677 7.0964
-4.2742 2.4677 7.0964
0.0000 -4.9354 7.0964
Na Ac Sm Se
1 3 3 8
Cartesian
0.0000 0.0000 0.0000
-4.2742 0.0000 10.6446
-2.1371 1.2339 3.5482
2.1371 1.2339 3.5482
-2.1371 -1.2339 7.0964
-2.1371 1.2339 14.1929
0.0000 2.4677 7.0964
0.0000 -2.4117 8.7741
-2.0886 1.2058 8.7741
0.0000 0.0000 5.4599
-2.0886 -1.2058 12.5152
2.0886 1.2058 8.7741
0.0000 0.0000 15.8294
2.0886 -1.2058 12.5152
0.0000 2.4117 12.5152
```

Results
- Space group: R-3m (166)
- Formation energy (no corrections): -1829 meV/atom
- D(E_F): 0.3236 states/eV per atom
- Magnetic moment: 0.000 μB/cell